# CaWO2

A geometry-optimized CaWO2 structure (PBE with a Hubbard U, the Alexandria database).

energy above the lowest structure with this stoichiometry = 0 meV/atom

Cell and atoms, written as POSCAR:
```
CaWO2
1.0
-0.8963 2.1271 2.1548
-7.8774 -2.4193 1.3441
2.1324 -4.1115 7.1441
Ca W O
4 4 8
Cartesian
-6.0297 -0.4042 2.5442
-0.4775 -3.7800 8.0264
-6.6082 -3.7306 7.6907
0.0658 -0.4314 2.8712
-2.8857 -0.8106 4.1909
-4.3121 -3.0565 3.6281
-1.2529 -3.2675 4.7645
-3.6090 -3.3970 6.3270
-2.8303 -2.6551 8.3835
-0.9314 -0.7291 5.1666
-5.5385 -3.3128 5.3911
-3.6963 -1.4888 2.2073
-1.9905 0.7384 3.0688
-6.1099 -2.8130 2.6016
-4.5390 -4.9014 7.4640
0.5242 -3.4832 5.8215
```